# 1
A plane-wave DFT calculation with PBE-GGA was carried out for LiTi3Re after structural relaxation.

Structure (extended XYZ):
```
5
Lattice="-0.880 -3.686 -1.943 3.283 -1.837 1.998 -2.567 -1.085 3.221" Properties=species:S:1:pos:R:3 pbc="T T T"
Li 0.000 0.000 0.000
Ti 1.641 -0.918 0.999
Ti -1.284 -0.542 1.610
Re -0.082 -3.304 1.638
Ti -0.440 -1.843 -0.972
```

Calculated values
DOS at the Fermi energy = 1.788 states/eV per atom
energy of formation = 0.976 eV per atom

# 2
A plane-wave DFT calculation with PBE-GGA was carried out for LiTi2Re after structural relaxation.

Structure (extended XYZ):
```
8
Lattice="-4.213 -5.345 0.681 -0.082 -0.801 -6.792 -0.042 -4.711 -2.888" Properties=species:S:1:pos:R:3 pbc="T T T"
Ti -1.643 -5.841 -4.485
Ti -3.790 -8.907 -7.486
Li -1.136 -4.292 -6.368
Ti -2.637 -4.597 -1.148
Re 0.000 0.000 0.000
Re -3.202 -6.564 -2.631
Li -2.148 -3.073 -3.056
Ti -0.606 -2.368 -4.879
```

Calculated values
DOS at the Fermi energy = 0.789 states/eV per atom
energy of formation = 0.409 eV per atom

# 3
A plane-wave DFT calculation with PBE-GGA was carried out for LiTiRe2 after structural relaxation.

Structure (extended XYZ):
```
8
Lattice="6.874 0.000 0.000 0.000 6.874 0.000 3.437 3.437 2.536" Properties=species:S:1:pos:R:3 pbc="T T T"
Ti 0.000 0.000 0.000
Re 1.879 5.155 0.634
Li 3.437 3.437 0.000
Ti 6.874 3.437 1.268
Re 5.155 5.316 1.902
Re 8.592 8.432 1.902
Li 3.437 6.874 1.268
Re 4.995 1.718 0.634
```

Calculated values
DOS at the Fermi energy = 0.684 states/eV per atom
energy of formation = 0.723 eV per atom

# 4
A plane-wave DFT calculation with PBE-GGA was carried out for LiTi2Re after structural relaxation.

Structure (extended XYZ):
```
4
Lattice="3.158 0.000 0.000 0.000 4.376 0.000 0.000 0.000 4.376" Properties=species:S:1:pos:R:3 pbc="T T T"
Li 1.579 0.000 0.000
Re 1.579 2.188 2.188
Ti 0.000 0.000 2.188
Ti 0.000 2.188 0.000
```

Calculated values
DOS at the Fermi energy = 0.956 states/eV per atom
energy of formation = -0.054 eV per atom

# 5
A plane-wave DFT calculation with PBE-GGA was carried out for LiTiRe3 after structural relaxation.

Structure (extended XYZ):
```
5
Lattice="-3.983 1.819 -1.353 -2.181 -2.329 3.290 0.618 3.503 2.889" Properties=species:S:1:pos:R:3 pbc="T T T"
Re 0.309 1.751 1.445
Ti 0.000 0.000 0.000
Re -1.991 0.909 -0.676
Re -1.090 -1.164 1.645
Li -2.773 1.497 2.413
```

Calculated values
DOS at the Fermi energy = 1.373 states/eV per atom
energy of formation = 1.855 eV per atom

# 6
A plane-wave DFT calculation with PBE-GGA was carried out for LiTi3Re after structural relaxation.

Structure (extended XYZ):
```
5
Lattice="4.823 0.000 0.000 0.000 4.823 0.000 0.000 0.000 4.823" Properties=species:S:1:pos:R:3 pbc="T T T"
Ti 0.000 0.000 2.412
Ti 2.412 0.000 0.000
Re 0.000 0.000 0.000
Li 2.412 2.412 2.412
Ti 0.000 2.412 0.000
```

Calculated values
DOS at the Fermi energy = 1.857 states/eV per atom
energy of formation = 0.615 eV per atom

# 7
A plane-wave DFT calculation with PBE-GGA was carried out for LiTiRe2 after structural relaxation.

Structure (extended XYZ):
```
4
Lattice="-1.076 -1.460 3.914 -2.669 2.290 2.498 -4.004 -1.419 0.747" Properties=species:S:1:pos:R:3 pbc="T T T"
Li 0.000 0.000 0.000
Re -1.937 -0.147 1.790
Ti -3.874 -0.295 3.579
Re -5.812 -0.442 5.369
```

Calculated values
DOS at the Fermi energy = 1.335 states/eV per atom
energy of formation = 0.336 eV per atom

# 8
A plane-wave DFT calculation with PBE-GGA was carried out for LiTiVRe after structural relaxation.

Structure (extended XYZ):
```
4
Lattice="4.327 0.000 0.000 2.163 3.747 0.000 2.163 1.249 3.533" Properties=species:S:1:pos:R:3 pbc="T T T"
Ti 4.327 2.498 1.766
V 0.000 0.000 0.000
Li 2.163 1.249 0.883
Re 6.490 3.747 2.649
```

Calculated values
DOS at the Fermi energy = 0.784 states/eV per atom
energy of formation = -0.019 eV per atom

# 9
A plane-wave DFT calculation with PBE-GGA was carried out for Li2TlRe after structural relaxation.

Structure (extended XYZ):
```
4
Lattice="4.628 0.000 0.000 0.000 4.628 0.000 0.000 0.000 2.854" Properties=species:S:1:pos:R:3 pbc="T T T"
Tl 0.000 2.314 1.427
Re 2.314 0.000 1.427
Li 0.000 0.000 0.000
Li 2.314 2.314 0.000
```

Calculated values
DOS at the Fermi energy = 0.515 states/eV per atom
energy of formation = 0.551 eV per atom

# 10
A plane-wave DFT calculation with PBE-GGA was carried out for LiTl2Re after structural relaxation.

Structure (extended XYZ):
```
4
Lattice="-2.179 1.200 1.674 -0.853 -2.831 -0.498 4.386 -2.661 7.618" Properties=species:S:1:pos:R:3 pbc="T T T"
Tl 2.192 -1.330 3.807
Li -0.420 -1.481 2.493
Re 1.773 -2.811 6.301
Tl 0.001 -0.001 0.002
```

Calculated values
DOS at the Fermi energy = 0.382 states/eV per atom
energy of formation = 0.575 eV per atom

# 11
A plane-wave DFT calculation with PBE-GGA was carried out for Li2TlRe after structural relaxation.

Structure (extended XYZ):
```
4
Lattice="-2.879 0.533 4.295 -2.674 -1.091 -4.322 0.266 -2.675 0.510" Properties=species:S:1:pos:R:3 pbc="T T T"
Tl -1.204 -1.883 -1.906
Re -1.306 -1.071 2.403
Li -2.777 -0.279 -0.014
Li 0.000 0.000 0.000
```

Calculated values
DOS at the Fermi energy = 0.657 states/eV per atom
energy of formation = 0.463 eV per atom

# 12
A plane-wave DFT calculation with PBE-GGA was carried out for LiTl2Re after structural relaxation.

Structure (extended XYZ):
```
4
Lattice="4.739 0.024 0.000 -0.027 4.739 0.000 0.000 0.000 3.354" Properties=species:S:1:pos:R:3 pbc="T T T"
Re -0.014 2.369 1.677
Li 2.369 0.012 1.677
Tl 0.000 0.000 0.000
Tl 2.356 2.381 0.000
```

Calculated values
DOS at the Fermi energy = 0.670 states/eV per atom
energy of formation = 0.593 eV per atom

What did the seventh record say?
A plane-wave DFT calculation with PBE-GGA was carried out for LiTiRe2 after structural relaxation.

Structure (extended XYZ):
```
4
Lattice="-1.076 -1.460 3.914 -2.669 2.290 2.498 -4.004 -1.419 0.747" Properties=species:S:1:pos:R:3 pbc="T T T"
Li 0.000 0.000 0.000
Re -1.937 -0.147 1.790
Ti -3.874 -0.295 3.579
Re -5.812 -0.442 5.369
```

Calculated values
DOS at the Fermi energy = 1.335 states/eV per atom
energy of formation = 0.336 eV per atom

> Which of these has the lowest DOS at the Fermi energy?

number 10

> DOS at the Fermi energy of number 9 (Li2TlRe)?

0.515 states/eV per atom

> Look up the energy of formation of the ninth one.

0.551 eV per atom